PBE-GGA LiZn6Pt2, optimized geometry; spin magnetization = 0.000 μB/atom; space-group type = C2/m, No. 12; formation enthalpy at 0 K = -0.408 eV per atom
1.0
4.3190 -1.9428 0.0000
4.3190 1.9428 0.0000
-2.6722 0.0000 7.6960
Li Zn Pt
1 6 2
direct
0.0000 0.0000 0.0000 Li
0.0045 0.0045 0.3273 Zn
0.3335 0.3335 0.4428 Zn
0.3365 0.3365 0.1082 Zn
0.6635 0.6635 0.8918 Zn
0.6665 0.6665 0.5572 Zn
0.9955 0.9955 0.6727 Zn
0.3266 0.3266 0.7759 Pt
0.6734 0.6734 0.2241 Pt